1.
# KCuP2O, optimized geometry, DFT GGA-PBE
data_KCuP2O
_chemical_formula_sum 'K1 Cu1 P2 O1'
_cell_length_a 5.410
_cell_length_b 5.410
_cell_length_c 4.013
_cell_angle_alpha 90.00
_cell_angle_beta 90.00
_cell_angle_gamma 90.00
_symmetry_space_group_name_H-M 'P 1'
_symmetry_Int_Tables_number 1
loop_
_symmetry_equiv_pos_as_xyz
'x,y,z'
loop_
_atom_site_label
_atom_site_fract_x
_atom_site_fract_y
_atom_site_fract_z
_atom_site_occupancy
P1 0.000 0.500 0.000 1
P2 0.500 0.000 0.000 1
K1 0.000 0.000 0.000 1
O1 0.000 0.000 0.500 1
Cu1 0.500 0.500 0.500 1
# SG: No. 123
# volume: 23.5 Å³ per atom


2.
# KCuP2O, optimized geometry, DFT GGA-PBE
data_KCuP2O
_chemical_formula_sum 'K1 Cu1 P2 O1'
_cell_length_a 4.519
_cell_length_b 4.519
_cell_length_c 4.478
_cell_angle_alpha 90.00
_cell_angle_beta 90.00
_cell_angle_gamma 90.00
_symmetry_space_group_name_H-M 'P 1'
_symmetry_Int_Tables_number 1
loop_
_symmetry_equiv_pos_as_xyz
'x,y,z'
loop_
_atom_site_label
_atom_site_fract_x
_atom_site_fract_y
_atom_site_fract_z
_atom_site_occupancy
P1 0.000 0.500 0.000 1
P2 0.500 0.000 0.000 1
K1 0.500 0.500 0.500 1
O1 0.000 0.000 0.500 1
Cu1 0.000 0.000 0.000 1
# SG: No. 123
# volume: 18.3 Å³ per atom


Least stable of them? 1.


1.
# KCuPO4, optimized geometry, DFT GGA-PBE
data_KCuPO4
_chemical_formula_sum 'K4 Cu4 P4 O16'
_cell_length_a 9.745
_cell_length_b 5.050
_cell_length_c 8.402
_cell_angle_alpha 87.36
_cell_angle_beta 90.00
_cell_angle_gamma 90.00
_symmetry_space_group_name_H-M 'P 1'
_symmetry_Int_Tables_number 1
loop_
_symmetry_equiv_pos_as_xyz
'x,y,z'
loop_
_atom_site_label
_atom_site_fract_x
_atom_site_fract_y
_atom_site_fract_z
_atom_site_occupancy
K1 0.225 0.235 0.744 1
K2 0.725 0.765 0.256 1
K3 0.373 0.222 0.232 1
K4 0.873 0.778 0.768 1
Cu1 0.097 0.760 0.420 1
Cu2 0.597 0.240 0.580 1
Cu3 0.992 0.357 0.097 1
Cu4 0.492 0.643 0.903 1
P1 0.415 0.751 0.544 1
P2 0.915 0.249 0.456 1
P3 0.183 0.736 0.059 1
P4 0.683 0.264 0.941 1
O1 0.436 0.449 0.517 1
O2 0.936 0.551 0.483 1
O3 0.390 0.797 0.723 1
O4 0.890 0.203 0.277 1
O5 0.288 0.852 0.449 1
O6 0.788 0.148 0.551 1
O7 0.041 0.089 0.523 1
O8 0.541 0.911 0.477 1
O9 0.340 0.684 0.055 1
O10 0.840 0.316 0.945 1
O11 0.152 0.031 0.056 1
O12 0.652 0.969 0.944 1
O13 0.128 0.580 0.219 1
O14 0.628 0.420 0.781 1
O15 0.100 0.585 0.933 1
O16 0.600 0.415 0.067 1
# SG: No. 4
# volume: 14.8 Å³ per atom


2.
# KCuPO4, optimized geometry, DFT GGA-PBE
data_KCuPO4
_chemical_formula_sum 'K8 Cu8 P8 O32'
_cell_length_a 6.894
_cell_length_b 6.850
_cell_length_c 18.092
_cell_angle_alpha 90.00
_cell_angle_beta 90.00
_cell_angle_gamma 90.00
_symmetry_space_group_name_H-M 'P 1'
_symmetry_Int_Tables_number 1
loop_
_symmetry_equiv_pos_as_xyz
'x,y,z'
loop_
_atom_site_label
_atom_site_fract_x
_atom_site_fract_y
_atom_site_fract_z
_atom_site_occupancy
K1 0.036 0.982 0.675 1
K2 0.964 0.018 0.325 1
K3 0.036 0.518 0.175 1
K4 0.964 0.482 0.825 1
K5 0.464 0.018 0.175 1
K6 0.536 0.518 0.325 1
K7 0.464 0.482 0.675 1
K8 0.536 0.982 0.825 1
Cu1 0.714 0.228 0.996 1
Cu2 0.214 0.228 0.504 1
Cu3 0.286 0.772 0.004 1
Cu4 0.214 0.272 0.004 1
Cu5 0.786 0.772 0.496 1
Cu6 0.286 0.728 0.504 1
Cu7 0.714 0.272 0.496 1
Cu8 0.786 0.728 0.996 1
P1 0.474 0.991 0.395 1
P2 0.026 0.009 0.895 1
P3 0.026 0.491 0.395 1
P4 0.974 0.509 0.605 1
P5 0.526 0.009 0.605 1
P6 0.526 0.491 0.105 1
P7 0.474 0.509 0.895 1
P8 0.974 0.991 0.105 1
O1 0.869 0.654 0.404 1
O2 0.769 0.061 0.080 1
O3 0.369 0.654 0.096 1
O4 0.472 0.316 0.049 1
O5 0.528 0.684 0.951 1
O6 0.631 0.154 0.404 1
O7 0.131 0.154 0.096 1
O8 0.731 0.561 0.080 1
O9 0.028 0.082 0.816 1
O10 0.972 0.316 0.451 1
O11 0.269 0.061 0.420 1
O12 0.131 0.346 0.596 1
O13 0.869 0.846 0.904 1
O14 0.528 0.082 0.684 1
O15 0.472 0.582 0.816 1
O16 0.528 0.418 0.184 1
O17 0.769 0.439 0.580 1
O18 0.472 0.184 0.549 1
O19 0.472 0.918 0.316 1
O20 0.972 0.582 0.684 1
O21 0.269 0.439 0.920 1
O22 0.231 0.939 0.920 1
O23 0.369 0.846 0.596 1
O24 0.528 0.816 0.451 1
O25 0.231 0.561 0.420 1
O26 0.028 0.418 0.316 1
O27 0.972 0.918 0.184 1
O28 0.972 0.184 0.951 1
O29 0.028 0.816 0.049 1
O30 0.631 0.346 0.904 1
O31 0.028 0.684 0.549 1
O32 0.731 0.939 0.580 1
# SG: No. 61
# volume: 15.3 Å³ per atom


Least stable of them? 1.


1.
# KCuSO, optimized geometry, DFT GGA-PBE
data_KCuSO
_chemical_formula_sum 'K2 Cu2 S2 O2'
_cell_length_a 7.094
_cell_length_b 4.077
_cell_length_c 6.536
_cell_angle_alpha 71.64
_cell_angle_beta 84.25
_cell_angle_gamma 109.53
_symmetry_space_group_name_H-M 'P 1'
_symmetry_Int_Tables_number 1
loop_
_symmetry_equiv_pos_as_xyz
'x,y,z'
loop_
_atom_site_label
_atom_site_fract_x
_atom_site_fract_y
_atom_site_fract_z
_atom_site_occupancy
S1 0.794 0.166 0.321 1
S2 0.351 0.382 0.675 1
K1 0.280 0.623 0.128 1
K2 0.869 0.536 0.758 1
O1 0.117 0.169 0.780 1
O2 0.462 0.354 0.873 1
Cu1 0.750 0.674 0.257 1
Cu2 0.476 0.040 0.523 1
# SG: No. 1
# volume: 20.6 Å³ per atom


2.
# KCuSO, optimized geometry, DFT GGA-PBE
data_KCuSO
_chemical_formula_sum 'K2 Cu2 S2 O2'
_cell_length_a 8.097
_cell_length_b 5.006
_cell_length_c 4.776
_cell_angle_alpha 85.78
_cell_angle_beta 71.74
_cell_angle_gamma 83.65
_symmetry_space_group_name_H-M 'P 1'
_symmetry_Int_Tables_number 1
loop_
_symmetry_equiv_pos_as_xyz
'x,y,z'
loop_
_atom_site_label
_atom_site_fract_x
_atom_site_fract_y
_atom_site_fract_z
_atom_site_occupancy
S1 0.095 0.529 0.309 1
S2 0.583 0.076 0.917 1
K1 0.636 0.597 0.439 1
K2 0.989 0.056 0.865 1
O1 0.969 0.523 0.124 1
O2 0.109 0.847 0.339 1
Cu1 0.351 0.877 0.120 1
Cu2 0.359 0.365 0.076 1
# SG: No. 1
# volume: 22.8 Å³ per atom


Least stable of them? 2.


1.
# KCuOs2, optimized geometry, DFT GGA-PBE
data_KCuOs2
_chemical_formula_sum 'K1 Cu1 Os2'
_cell_length_a 5.749
_cell_length_b 5.749
_cell_length_c 5.749
_cell_angle_alpha 142.31
_cell_angle_beta 142.31
_cell_angle_gamma 54.36
_symmetry_space_group_name_H-M 'P 1'
_symmetry_Int_Tables_number 1
loop_
_symmetry_equiv_pos_as_xyz
'x,y,z'
loop_
_atom_site_label
_atom_site_fract_x
_atom_site_fract_y
_atom_site_fract_z
_atom_site_occupancy
Cu1 0.250 0.750 0.500 1
K1 0.750 0.250 0.500 1
Os1 0.000 0.000 0.000 1
Os2 0.500 0.500 0.000 1
# SG: No. 139
# volume: 17.6 Å³ per atom


2.
# KCuOs2, optimized geometry, DFT GGA-PBE
data_KCuOs2
_chemical_formula_sum 'K1 Cu1 Os2'
_cell_length_a 4.520
_cell_length_b 4.520
_cell_length_c 4.520
_cell_angle_alpha 60.00
_cell_angle_beta 60.00
_cell_angle_gamma 60.00
_symmetry_space_group_name_H-M 'P 1'
_symmetry_Int_Tables_number 1
loop_
_symmetry_equiv_pos_as_xyz
'x,y,z'
loop_
_atom_site_label
_atom_site_fract_x
_atom_site_fract_y
_atom_site_fract_z
_atom_site_occupancy
Cu1 0.500 0.500 0.500 1
K1 0.250 0.250 0.250 1
Os1 0.000 0.000 0.000 1
Os2 0.750 0.750 0.750 1
# SG: No. 216
# volume: 16.3 Å³ per atom


Least stable of them? 1.


1.
# KCuOs2, optimized geometry, DFT GGA-PBE
data_KCuOs2
_chemical_formula_sum 'K1 Cu1 Os2'
_cell_length_a 2.689
_cell_length_b 2.689
_cell_length_c 10.266
_cell_angle_alpha 90.00
_cell_angle_beta 90.00
_cell_angle_gamma 117.87
_symmetry_space_group_name_H-M 'P 1'
_symmetry_Int_Tables_number 1
loop_
_symmetry_equiv_pos_as_xyz
'x,y,z'
loop_
_atom_site_label
_atom_site_fract_x
_atom_site_fract_y
_atom_site_fract_z
_atom_site_occupancy
Cu1 0.500 0.500 0.250 1
K1 0.500 0.500 0.750 1
Os1 0.000 0.000 0.036 1
Os2 0.000 0.000 0.464 1
# SG: No. 65
# volume: 16.4 Å³ per atom


2.
# KCuOs2, optimized geometry, DFT GGA-PBE
data_KCuOs2
_chemical_formula_sum 'K1 Cu1 Os2'
_cell_length_a 2.658
_cell_length_b 4.772
_cell_length_c 5.364
_cell_angle_alpha 90.00
_cell_angle_beta 90.00
_cell_angle_gamma 90.00
_symmetry_space_group_name_H-M 'P 1'
_symmetry_Int_Tables_number 1
loop_
_symmetry_equiv_pos_as_xyz
'x,y,z'
loop_
_atom_site_label
_atom_site_fract_x
_atom_site_fract_y
_atom_site_fract_z
_atom_site_occupancy
Cu1 0.500 0.000 0.500 1
K1 0.000 0.500 0.500 1
Os1 0.000 0.000 0.000 1
Os2 0.500 0.500 0.000 1
# SG: No. 47
# volume: 17.0 Å³ per atom


Least stable of them? 2.


1.
# KCuOs2, optimized geometry, DFT GGA-PBE
data_KCuOs2
_chemical_formula_sum 'K1 Cu1 Os2'
_cell_length_a 2.873
_cell_length_b 2.873
_cell_length_c 8.839
_cell_angle_alpha 90.00
_cell_angle_beta 90.00
_cell_angle_gamma 90.00
_symmetry_space_group_name_H-M 'P 1'
_symmetry_Int_Tables_number 1
loop_
_symmetry_equiv_pos_as_xyz
'x,y,z'
loop_
_atom_site_label
_atom_site_fract_x
_atom_site_fract_y
_atom_site_fract_z
_atom_site_occupancy
Cu1 0.000 0.000 0.441 1
K1 0.500 0.500 0.745 1
Os1 0.000 0.000 0.067 1
Os2 0.500 0.500 0.247 1
# SG: No. 99
# volume: 18.2 Å³ per atom


2.
# KCuOs2, optimized geometry, DFT GGA-PBE
data_KCuOs2
_chemical_formula_sum 'K1 Cu1 Os2'
_cell_length_a 4.473
_cell_length_b 4.473
_cell_length_c 7.131
_cell_angle_alpha 85.91
_cell_angle_beta 85.91
_cell_angle_gamma 35.40
_symmetry_space_group_name_H-M 'P 1'
_symmetry_Int_Tables_number 1
loop_
_symmetry_equiv_pos_as_xyz
'x,y,z'
loop_
_atom_site_label
_atom_site_fract_x
_atom_site_fract_y
_atom_site_fract_z
_atom_site_occupancy
Cu1 0.517 0.517 0.415 1
K1 0.753 0.753 0.748 1
Os1 0.986 0.986 0.106 1
Os2 0.244 0.244 0.231 1
# SG: No. 8
# volume: 20.6 Å³ per atom


3.
# KCuOs2, optimized geometry, DFT GGA-PBE
data_KCuOs2
_chemical_formula_sum 'K1 Cu1 Os2'
_cell_length_a 2.637
_cell_length_b 2.637
_cell_length_c 9.647
_cell_angle_alpha 90.00
_cell_angle_beta 90.00
_cell_angle_gamma 90.00
_symmetry_space_group_name_H-M 'P 1'
_symmetry_Int_Tables_number 1
loop_
_symmetry_equiv_pos_as_xyz
'x,y,z'
loop_
_atom_site_label
_atom_site_fract_x
_atom_site_fract_y
_atom_site_fract_z
_atom_site_occupancy
Cu1 0.500 0.500 0.250 1
K1 0.500 0.500 0.750 1
Os1 0.000 0.000 0.048 1
Os2 0.000 0.000 0.452 1
# SG: No. 123
# volume: 16.8 Å³ per atom


4.
# KCuOs2, optimized geometry, DFT GGA-PBE
data_KCuOs2
_chemical_formula_sum 'K1 Cu1 Os2'
_cell_length_a 10.357
_cell_length_b 10.357
_cell_length_c 10.357
_cell_angle_alpha 15.05
_cell_angle_beta 15.05
_cell_angle_gamma 15.05
_symmetry_space_group_name_H-M 'P 1'
_symmetry_Int_Tables_number 1
loop_
_symmetry_equiv_pos_as_xyz
'x,y,z'
loop_
_atom_site_label
_atom_site_fract_x
_atom_site_fract_y
_atom_site_fract_z
_atom_site_occupancy
Cu1 0.250 0.250 0.250 1
K1 0.750 0.750 0.750 1
Os1 0.987 0.987 0.987 1
Os2 0.513 0.513 0.513 1
# SG: No. 166
# volume: 16.3 Å³ per atom


Least stable of them? 3.


1.
# KCuOs2, optimized geometry, DFT GGA-PBE
data_KCuOs2
_chemical_formula_sum 'K1 Cu1 Os2'
_cell_length_a 3.726
_cell_length_b 3.726
_cell_length_c 5.030
_cell_angle_alpha 90.00
_cell_angle_beta 90.00
_cell_angle_gamma 90.00
_symmetry_space_group_name_H-M 'P 1'
_symmetry_Int_Tables_number 1
loop_
_symmetry_equiv_pos_as_xyz
'x,y,z'
loop_
_atom_site_label
_atom_site_fract_x
_atom_site_fract_y
_atom_site_fract_z
_atom_site_occupancy
Cu1 0.500 0.000 0.500 1
K1 0.000 0.500 0.500 1
Os1 0.000 0.000 0.000 1
Os2 0.500 0.500 0.000 1
# SG: No. 123
# volume: 17.5 Å³ per atom


2.
# KCuOs2, optimized geometry, DFT GGA-PBE
data_KCuOs2
_chemical_formula_sum 'K1 Cu1 Os2'
_cell_length_a 10.193
_cell_length_b 10.193
_cell_length_c 10.193
_cell_angle_alpha 15.72
_cell_angle_beta 15.72
_cell_angle_gamma 15.72
_symmetry_space_group_name_H-M 'P 1'
_symmetry_Int_Tables_number 1
loop_
_symmetry_equiv_pos_as_xyz
'x,y,z'
loop_
_atom_site_label
_atom_site_fract_x
_atom_site_fract_y
_atom_site_fract_z
_atom_site_occupancy
Cu1 0.512 0.512 0.512 1
K1 0.752 0.752 0.752 1
Os1 0.986 0.986 0.986 1
Os2 0.250 0.250 0.250 1
# SG: No. 160
# volume: 16.9 Å³ per atom


3.
# KCuOs2, optimized geometry, DFT GGA-PBE
data_KCuOs2
_chemical_formula_sum 'K1 Cu1 Os2'
_cell_length_a 2.731
_cell_length_b 2.731
_cell_length_c 10.196
_cell_angle_alpha 90.00
_cell_angle_beta 90.00
_cell_angle_gamma 116.90
_symmetry_space_group_name_H-M 'P 1'
_symmetry_Int_Tables_number 1
loop_
_symmetry_equiv_pos_as_xyz
'x,y,z'
loop_
_atom_site_label
_atom_site_fract_x
_atom_site_fract_y
_atom_site_fract_z
_atom_site_occupancy
Cu1 0.000 0.000 0.468 1
K1 0.500 0.500 0.749 1
Os1 0.000 0.000 0.035 1
Os2 0.500 0.500 0.249 1
# SG: No. 35
# volume: 16.9 Å³ per atom


4.
# KCuOs2, optimized geometry, DFT GGA-PBE
data_KCuOs2
_chemical_formula_sum 'K1 Cu1 Os2'
_cell_length_a 2.522
_cell_length_b 4.086
_cell_length_c 7.731
_cell_angle_alpha 90.00
_cell_angle_beta 90.00
_cell_angle_gamma 90.00
_symmetry_space_group_name_H-M 'P 1'
_symmetry_Int_Tables_number 1
loop_
_symmetry_equiv_pos_as_xyz
'x,y,z'
loop_
_atom_site_label
_atom_site_fract_x
_atom_site_fract_y
_atom_site_fract_z
_atom_site_occupancy
Cu1 0.500 0.500 0.250 1
K1 0.500 0.500 0.750 1
Os1 0.000 0.000 0.090 1
Os2 0.000 0.000 0.410 1
# SG: No. 47
# volume: 19.9 Å³ per atom


Least stable of them? 1.


1.
# KCuOs2, optimized geometry, DFT GGA-PBE
data_KCuOs2
_chemical_formula_sum 'K2 Cu2 Os4'
_cell_length_a 4.621
_cell_length_b 4.621
_cell_length_c 9.646
_cell_angle_alpha 76.14
_cell_angle_beta 76.14
_cell_angle_gamma 90.00
_symmetry_space_group_name_H-M 'P 1'
_symmetry_Int_Tables_number 1
loop_
_symmetry_equiv_pos_as_xyz
'x,y,z'
loop_
_atom_site_label
_atom_site_fract_x
_atom_site_fract_y
_atom_site_fract_z
_atom_site_occupancy
K1 0.500 0.500 0.000 1
K2 0.250 0.750 0.500 1
Os1 0.927 0.125 0.250 1
Os2 0.823 0.625 0.250 1
Os3 0.375 0.073 0.750 1
Os4 0.875 0.177 0.750 1
Cu1 0.000 0.000 0.000 1
Cu2 0.750 0.250 0.500 1
# SG: No. 122
# volume: 24.2 Å³ per atom


2.
# KCuOs2, optimized geometry, DFT GGA-PBE
data_KCuOs2
_chemical_formula_sum 'K1 Cu1 Os2'
_cell_length_a 5.752
_cell_length_b 5.752
_cell_length_c 2.519
_cell_angle_alpha 90.00
_cell_angle_beta 90.00
_cell_angle_gamma 123.84
_symmetry_space_group_name_H-M 'P 1'
_symmetry_Int_Tables_number 1
loop_
_symmetry_equiv_pos_as_xyz
'x,y,z'
loop_
_atom_site_label
_atom_site_fract_x
_atom_site_fract_y
_atom_site_fract_z
_atom_site_occupancy
Cu1 0.500 0.000 0.500 1
K1 0.000 0.500 0.500 1
Os1 0.000 0.000 0.000 1
Os2 0.500 0.500 0.000 1
# SG: No. 65
# volume: 17.3 Å³ per atom


3.
# KCuOs2, optimized geometry, DFT GGA-PBE
data_KCuOs2
_chemical_formula_sum 'K1 Cu1 Os2'
_cell_length_a 4.548
_cell_length_b 4.548
_cell_length_c 4.548
_cell_angle_alpha 60.00
_cell_angle_beta 60.00
_cell_angle_gamma 60.00
_symmetry_space_group_name_H-M 'P 1'
_symmetry_Int_Tables_number 1
loop_
_symmetry_equiv_pos_as_xyz
'x,y,z'
loop_
_atom_site_label
_atom_site_fract_x
_atom_site_fract_y
_atom_site_fract_z
_atom_site_occupancy
K1 0.000 0.000 0.000 1
Os1 0.250 0.250 0.250 1
Os2 0.750 0.750 0.750 1
Cu1 0.500 0.500 0.500 1
# SG: No. 225
# volume: 16.6 Å³ per atom


4.
# KCuOs2, optimized geometry, DFT GGA-PBE
data_KCuOs2
_chemical_formula_sum 'K1 Cu1 Os2'
_cell_length_a 6.060
_cell_length_b 6.060
_cell_length_c 4.618
_cell_angle_alpha 67.63
_cell_angle_beta 67.63
_cell_angle_gamma 25.36
_symmetry_space_group_name_H-M 'P 1'
_symmetry_Int_Tables_number 1
loop_
_symmetry_equiv_pos_as_xyz
'x,y,z'
loop_
_atom_site_label
_atom_site_fract_x
_atom_site_fract_y
_atom_site_fract_z
_atom_site_occupancy
Cu1 0.250 0.250 0.250 1
K1 0.750 0.750 0.750 1
Os1 0.967 0.967 0.033 1
Os2 0.533 0.533 0.467 1
# SG: No. 71
# volume: 16.7 Å³ per atom


Least stable of them? 3.